VASP calculation (GGA-PBE) on an optimized crystal structure of SnP2Os.

Cell: 5.790 5.790 6.726 Å, 64.51 64.51 90.00°
Fractional positions:
Os 0.750 0.250 0.500
Sn 0.250 0.750 0.500
P 0.068 0.625 0.250
Sn 0.500 0.500 0.000
P 0.375 0.318 0.750
P 0.682 0.125 0.250
P 0.875 0.932 0.750
Os 0.000 0.000 0.000

Computed properties:
Size of the total moment in μB/f.u.: 0.00
E_form in eV/atom: 0.06
Theoretical density in kg/m³: 6886